(1)
Computed, not measured: a relaxed structure of Sm2SnPd at the PBE level of DFT.

Unit cell a=6.228 b=4.466 c=8.290 alpha=90.00 beta=111.01 gamma=90.00
Space group P2_1/m (No. 11)
One atom of each set of equivalent atoms:
Sm  0.212  0.250  0.445 (multiplicity 2)
Sm  0.228  0.250  0.907 (multiplicity 2)
Sn  0.323  0.750  0.206 (multiplicity 2)
Pd  0.346  0.750  0.706 (multiplicity 2)

Computed properties:
* Fermi-level density of states: 1.766 states/eV/f.u.
* calculated total energy: -0.3997 Ry per atom
* magnetic moment: 0.0 μB per formula unit
* energy relative to the elements: -0.78 eV per atom

(2)
Computed, not measured: a relaxed structure of Sm3Sn2Pd7 at the PBE level of DFT.

Unit cell a=4.131 b=4.131 c=29.402 alpha=90.00 beta=90.00 gamma=90.00
Space group I4/mmm (No. 139)
One atom of each set of equivalent atoms:
Sm  0.000  0.000  0.000 (multiplicity 2)
Sm  0.000  0.000  0.180 (multiplicity 4)
Sn  0.000  0.000  0.371 (multiplicity 4)
Pd  0.000  0.000  0.278 (multiplicity 4)
Pd  0.000  0.000  0.500 (multiplicity 2)
Pd  0.000  0.500  0.072 (multiplicity 8)

Computed properties:
* Fermi-level density of states: 8.580 states/eV/f.u.
* calculated total energy: -0.4100 Ry per atom
* magnetic moment: 0.0 μB per formula unit
* energy relative to the elements: -0.70 eV per atom

(3)
Computed, not measured: a relaxed structure of SmSn3Pd3 at the PBE level of DFT.

Unit cell a=8.3854 b=8.3854 c=16.2279 alpha=90.00 beta=90.00 gamma=120.00
Space group R-3 (No. 148, hexagonal axes)
One atom of each set of equivalent atoms:
Sm  0.0000  0.0000  0.1687 (multiplicity 6)
Sn  0.0059  0.6957  0.6112 (multiplicity 18)
Pd  0.9996  0.3383  0.5585 (multiplicity 18)

Computed properties:
* Fermi-level density of states: 1.103 states/eV/f.u.
* calculated total energy: -0.3795 Ry per atom
* magnetic moment: 0.0 μB per formula unit
* energy relative to the elements: -0.55 eV per atom

(4)
Computed, not measured: a relaxed structure of Sm2SnPd at the PBE level of DFT.

Unit cell a=3.605 b=3.605 c=7.857 alpha=90.00 beta=90.00 gamma=90.00
Space group P4/mmm (No. 123)
One atom of each set of equivalent atoms:
Sm  0.000  0.000  0.225 (multiplicity 2)
Sn  0.500  0.500  0.500 (multiplicity 1)
Pd  0.500  0.500  0.000 (multiplicity 1)

Computed properties:
* Fermi-level density of states: 3.239 states/eV/f.u.
* calculated total energy: -0.3958 Ry per atom
* magnetic moment: 0.0 μB per formula unit
* energy relative to the elements: -0.73 eV per atom

(5)
Computed, not measured: a relaxed structure of Sm2Sn8Pd at the PBE level of DFT.

Unit cell a=4.699 b=4.699 c=13.045 alpha=90.00 beta=90.00 gamma=90.00
Space group P4/mmm (No. 123)
One atom of each set of equivalent atoms:
Sm  0.000  0.000  0.174 (multiplicity 2)
Sn  0.000  0.500  0.000 (multiplicity 2)
Sn  0.000  0.500  0.375 (multiplicity 4)
Sn  0.500  0.500  0.195 (multiplicity 2)
Pd  0.000  0.000  0.500 (multiplicity 1)

Computed properties:
* Fermi-level density of states: 3.960 states/eV/f.u.
* calculated total energy: -0.3415 Ry per atom
* magnetic moment: 0.0 μB per formula unit
* energy relative to the elements: -0.40 eV per atom

(6)
Computed, not measured: a relaxed structure of Sm2Sn3Pd2 at the PBE level of DFT.

Unit cell a=4.533 b=19.868 c=7.416 alpha=90.00 beta=90.00 gamma=90.00
Space group Cmcm (No. 63)
One atom of each set of equivalent atoms:
Sm  0.000  0.043  0.250 (multiplicity 4)
Sm  0.000  0.162  0.750 (multiplicity 4)
Sn  0.000  0.215  0.250 (multiplicity 4)
Sn  0.000  0.430  0.053 (multiplicity 8)
Pd  0.000  0.298  0.546 (multiplicity 8)

Computed properties:
* Fermi-level density of states: 3.604 states/eV/f.u.
* calculated total energy: -0.3914 Ry per atom
* magnetic moment: 0.0 μB per formula unit
* energy relative to the elements: -0.78 eV per atom

(7)
Computed, not measured: a relaxed structure of SmSnPd2 at the PBE level of DFT.

Unit cell a=4.703 b=4.703 c=3.746 alpha=90.00 beta=90.00 gamma=90.00
Space group P4/mmm (No. 123)
One atom of each set of equivalent atoms:
Sm  0.000  0.000  0.000 (multiplicity 1)
Sn  0.500  0.500  0.000 (multiplicity 1)
Pd  0.000  0.500  0.500 (multiplicity 2)

Computed properties:
* Fermi-level density of states: 3.432 states/eV/f.u.
* calculated total energy: -0.4019 Ry per atom
* magnetic moment: 0.0 μB per formula unit
* energy relative to the elements: -0.69 eV per atom

(8)
Computed, not measured: a relaxed structure of Sm2SnPd at the PBE level of DFT.

Unit cell a=4.0044 b=4.0044 c=24.5524 alpha=90.00 beta=90.00 gamma=120.00
Space group R-3m (No. 166, hexagonal axes)
One atom of each set of equivalent atoms:
Sm  0.0000  0.0000  0.2388 (multiplicity 6)
Sn  0.0000  0.0000  0.0000 (multiplicity 3)
Pd  0.0000  0.0000  0.5000 (multiplicity 3)

Computed properties:
* Fermi-level density of states: 3.576 states/eV/f.u.
* calculated total energy: -0.3839 Ry per atom
* magnetic moment: 0.0 μB per formula unit
* energy relative to the elements: -0.56 eV per atom

(9)
Computed, not measured: a relaxed structure of Sr2SmSn3Pd4 at the PBE level of DFT.

Unit cell a=4.688 b=4.688 c=11.301 alpha=90.00 beta=90.00 gamma=90.00
Space group P-4m2 (No. 115)
One atom of each set of equivalent atoms:
Sr  0.000  0.500  0.227 (multiplicity 2)
Sm  0.000  0.000  0.500 (multiplicity 1)
Sn  0.000  0.500  0.882 (multiplicity 2)
Sn  0.500  0.500  0.500 (multiplicity 1)
Pd  0.000  0.000  0.000 (multiplicity 1)
Pd  0.000  0.500  0.647 (multiplicity 2)
Pd  0.500  0.500  0.000 (multiplicity 1)

Computed properties:
* Fermi-level density of states: 4.160 states/eV/f.u.
* calculated total energy: -0.3564 Ry per atom
* magnetic moment: 0.0 μB per formula unit
* energy relative to the elements: -0.76 eV per atom

(10)
Computed, not measured: a relaxed structure of TbSmSnPd at the PBE level of DFT.

Unit cell a=7.387 b=7.387 c=7.387 alpha=90.00 beta=90.00 gamma=90.00
Space group F-43m (No. 216)
One atom of each set of equivalent atoms:
Tb  0.000  0.000  0.000 (multiplicity 4)
Sm  0.000  0.000  0.500 (multiplicity 4)
Sn  0.250  0.250  0.250 (multiplicity 4)
Pd  0.250  0.250  0.750 (multiplicity 4)

Computed properties:
* Fermi-level density of states: 2.840 states/eV/f.u.
* calculated total energy: -0.3935 Ry per atom
* magnetic moment: 0.0 μB per formula unit
* energy relative to the elements: -0.72 eV per atom

(11)
Computed, not measured: a relaxed structure of SmTmSnPd at the PBE level of DFT.

Unit cell a=7.326 b=7.326 c=7.326 alpha=90.00 beta=90.00 gamma=90.00
Space group F-43m (No. 216)
One atom of each set of equivalent atoms:
Sm  0.000  0.000  0.000 (multiplicity 4)
Tm  0.000  0.000  0.500 (multiplicity 4)
Sn  0.250  0.250  0.750 (multiplicity 4)
Pd  0.250  0.250  0.250 (multiplicity 4)

Computed properties:
* Fermi-level density of states: 2.518 states/eV/f.u.
* calculated total energy: -0.3907 Ry per atom
* magnetic moment: 0.0 μB per formula unit
* energy relative to the elements: -0.72 eV per atom

(12)
Computed, not measured: a relaxed structure of SmYSnPd at the PBE level of DFT.

Unit cell a=7.378 b=7.378 c=7.378 alpha=90.00 beta=90.00 gamma=90.00
Space group F-43m (No. 216)
One atom of each set of equivalent atoms:
Sm  0.000  0.000  0.000 (multiplicity 4)
Y  0.000  0.000  0.500 (multiplicity 4)
Sn  0.250  0.250  0.250 (multiplicity 4)
Pd  0.250  0.250  0.750 (multiplicity 4)

Computed properties:
* Fermi-level density of states: 2.740 states/eV/f.u.
* calculated total energy: -0.4283 Ry per atom
* magnetic moment: 0.0 μB per formula unit
* energy relative to the elements: -0.73 eV per atom

(13)
Computed, not measured: a relaxed structure of Sm2Zn2SnPd5 at the PBE level of DFT.

Unit cell a=9.870 b=9.870 c=3.825 alpha=90.00 beta=90.00 gamma=90.00
Space group P4/mbm (No. 127)
One atom of each set of equivalent atoms:
Sm  0.178  0.322  0.000 (multiplicity 4)
Zn  0.119  0.619  0.000 (multiplicity 4)
Sn  0.000  0.000  0.000 (multiplicity 2)
Pd  0.000  0.500  0.500 (multiplicity 2)
Pd  0.066  0.791  0.500 (multiplicity 8)

Computed properties:
* Fermi-level density of states: 3.757 states/eV/f.u.
* calculated total energy: -0.3597 Ry per atom
* magnetic moment: 0.0 μB per formula unit
* energy relative to the elements: -0.70 eV per atom

(14)
Computed, not measured: a relaxed structure of SmZnSnPd at the PBE level of DFT.

Unit cell a=6.922 b=6.922 c=6.922 alpha=90.00 beta=90.00 gamma=90.00
Space group F-43m (No. 216)
One atom of each set of equivalent atoms:
Sm  0.000  0.000  0.000 (multiplicity 4)
Zn  0.250  0.250  0.750 (multiplicity 4)
Sn  0.000  0.000  0.500 (multiplicity 4)
Pd  0.250  0.250  0.250 (multiplicity 4)

Computed properties:
* Fermi-level density of states: 2.060 states/eV/f.u.
* calculated total energy: -0.3240 Ry per atom
* magnetic moment: 0.0 μB per formula unit
* energy relative to the elements: -0.61 eV per atom

(15)
Computed, not measured: a relaxed structure of SrSm2Pd2 at the PBE level of DFT.

Unit cell a=7.247 b=7.253 c=7.785 alpha=114.97 beta=92.67 gamma=119.69
Space group P-1 (No. 2)
One atom of each set of equivalent atoms:
Sr  0.112  0.363  0.248 (multiplicity 2)
Sm  0.247  0.349  0.749 (multiplicity 2)
Sm  0.402  0.006  0.252 (multiplicity 2)
Pd  0.185  0.875  0.528 (multiplicity 2)
Pd  0.349  0.158  0.971 (multiplicity 2)

Computed properties:
* Fermi-level density of states: 3.323 states/eV/f.u.
* calculated total energy: -0.3546 Ry per atom
* magnetic moment: 0.0 μB per formula unit
* energy relative to the elements: -0.52 eV per atom

(16)
Computed, not measured: a relaxed structure of SrSm2Pd3 at the PBE level of DFT.

Unit cell a=3.604 b=3.604 c=11.122 alpha=90.00 beta=90.00 gamma=90.00
Space group P4/mmm (No. 123)
One atom of each set of equivalent atoms:
Sr  0.000  0.000  0.000 (multiplicity 1)
Sm  0.000  0.000  0.337 (multiplicity 2)
Pd  0.500  0.500  0.196 (multiplicity 2)
Pd  0.500  0.500  0.500 (multiplicity 1)

Computed properties:
* Fermi-level density of states: 2.818 states/eV/f.u.
* calculated total energy: -0.3817 Ry per atom
* magnetic moment: 0.0 μB per formula unit
* energy relative to the elements: -0.74 eV per atom

(17)
Computed, not measured: a relaxed structure of SrSm2Pd9 at the PBE level of DFT.

Unit cell a=5.4586 b=5.4586 c=26.9871 alpha=90.00 beta=90.00 gamma=120.00
Space group R-3m (No. 166, hexagonal axes)
One atom of each set of equivalent atoms:
Sr  0.0000  0.0000  0.0000 (multiplicity 3)
Sm  0.0000  0.0000  0.1387 (multiplicity 6)
Pd  0.0000  0.0000  0.3332 (multiplicity 6)
Pd  0.0000  0.0000  0.5000 (multiplicity 3)
Pd  0.0036  0.5018  0.9143 (multiplicity 18)

Computed properties:
* Fermi-level density of states: 8.383 states/eV/f.u.
* calculated total energy: -0.4017 Ry per atom
* magnetic moment: 0.0 μB per formula unit
* energy relative to the elements: -0.64 eV per atom

(18)
Computed, not measured: a relaxed structure of SrSmPd at the PBE level of DFT.

Unit cell a=3.708 b=3.708 c=13.532 alpha=90.00 beta=90.00 gamma=90.00
Space group I4mm (No. 107)
One atom of each set of equivalent atoms:
Sr  0.000  0.000  0.000 (multiplicity 2)
Sm  0.000  0.000  0.260 (multiplicity 2)
Pd  0.000  0.000  0.655 (multiplicity 2)

Computed properties:
* Fermi-level density of states: 2.959 states/eV/f.u.
* calculated total energy: -0.3157 Ry per atom
* magnetic moment: 0.0 μB per formula unit
* energy relative to the elements: -0.43 eV per atom

(19)
Computed, not measured: a relaxed structure of SrSmPd at the PBE level of DFT.

Unit cell a=8.091 b=4.675 c=11.741 alpha=90.00 beta=103.33 gamma=90.00
Space group C2/m (No. 12)
One atom of each set of equivalent atoms:
Sr  0.115  0.000  0.342 (multiplicity 4)
Sm  0.200  0.500  0.100 (multiplicity 4)
Pd  0.106  0.500  0.819 (multiplicity 4)

Computed properties:
* Fermi-level density of states: 1.114 states/eV/f.u.
* calculated total energy: -0.3179 Ry per atom
* magnetic moment: 0.0 μB per formula unit
* energy relative to the elements: -0.46 eV per atom

(20)
Computed, not measured: a relaxed structure of SrSm3Pd at the PBE level of DFT.

Unit cell a=5.693 b=5.693 c=5.693 alpha=90.00 beta=90.00 gamma=90.00
Space group Pm-3m (No. 221)
One atom of each set of equivalent atoms:
Sr  0.000  0.000  0.000 (multiplicity 1)
Sm  0.000  0.500  0.500 (multiplicity 3)
Pd  0.500  0.500  0.500 (multiplicity 1)

Computed properties:
* Fermi-level density of states: 9.816 states/eV/f.u.
* calculated total energy: -0.3191 Ry per atom
* magnetic moment: 0.0 μB per formula unit
* energy relative to the elements: -0.14 eV per atom